VASP calculation (GGA-PBE) on a relaxed structure of Ca2GaCuRu.

Cell and atoms, written as CIF:
```
data_Ca2GaCuRu
_chemical_formula_sum 'Ca2 Ga1 Cu1 Ru1'
_symmetry_space_group_name_H-M 'P 4/m m m'
_symmetry_Int_Tables_number 123
_symmetry_space_group_name_Hall '-P 4 2'
_cell_length_a 5.076
_cell_length_b 5.076
_cell_length_c 4.689
_cell_angle_alpha 90.00
_cell_angle_beta 90.00
_cell_angle_gamma 90.00
loop_
_atom_site_label
_atom_site_fract_x
_atom_site_fract_y
_atom_site_fract_z
Ca1 0.000 0.500 0.000
Ga1 0.000 0.000 0.500
Cu1 0.500 0.500 0.500
Ru1 0.500 0.500 0.000
```

Properties
magnetic moment = 0.000 μB per atom
uncorrected energy = -3.60 eV per atom